DFT (GGA+U) results for a relaxed structure of Mn3OF6.

Values from the calculation:
- crystal system = triclinic
- DFT total energy (eV per atom) = -6.175
- ΔE to the lowest computed polymorph (meV per atom) = 0

abc: 4.836 10.227 11.653
angles: 66.08 79.31 89.79
Space group P1 (No. 1)
Unique sites:
Mn 0.000 0.000 0.000 [1 per cell]
Mn 0.000 0.220 0.130 [1 per cell]
Mn 0.157 0.345 0.839 [1 per cell]
Mn 0.283 0.688 0.699 [1 per cell]
Mn 0.325 0.542 0.463 [1 per cell]
Mn 0.424 0.907 0.277 [1 per cell]
Mn 0.461 0.719 0.138 [1 per cell]
Mn 0.602 0.513 0.985 [1 per cell]
Mn 0.627 0.853 0.820 [1 per cell]
Mn 0.689 0.197 0.680 [1 per cell]
Mn 0.820 0.041 0.459 [1 per cell]
Mn 0.904 0.408 0.271 [1 per cell]
O 0.448 0.681 0.838 [1 per cell]
O 0.656 0.877 0.137 [1 per cell]
O 0.802 0.385 0.128 [1 per cell]
O 0.910 0.207 0.981 [1 per cell]
F 0.058 0.438 0.399 [1 per cell]
F 0.114 0.644 0.581 [1 per cell]
F 0.154 0.237 0.265 [1 per cell]
F 0.164 0.939 0.404 [1 per cell]
F 0.170 0.736 0.266 [1 per cell]
F 0.222 0.046 0.140 [1 per cell]
F 0.255 0.557 0.130 [1 per cell]
F 0.303 0.863 0.969 [1 per cell]
F 0.355 0.354 0.987 [1 per cell]
F 0.393 0.190 0.832 [1 per cell]
F 0.442 0.495 0.725 [1 per cell]
F 0.460 0.037 0.698 [1 per cell]
F 0.500 0.363 0.569 [1 per cell]
F 0.558 0.857 0.584 [1 per cell]
F 0.564 0.741 0.397 [1 per cell]
F 0.626 0.555 0.278 [1 per cell]
F 0.651 0.239 0.395 [1 per cell]
F 0.712 0.054 0.278 [1 per cell]
F 0.750 0.704 0.000 [1 per cell]
F 0.829 0.006 0.844 [1 per cell]
F 0.942 0.319 0.705 [1 per cell]
F 0.953 0.510 0.847 [1 per cell]
F 0.960 0.133 0.577 [1 per cell]
F 0.985 0.817 0.729 [1 per cell]